VASP calculation (PBE) on an optimized crystal structure of Li3NpPa2Se6.

Cell and atoms, written as CIF:
```
data_Li3NpPa2Se6
_cell_length_a 17.664
_cell_length_b 4.015
_cell_length_c 8.132
_cell_angle_alpha 90.00
_cell_angle_beta 104.10
_cell_angle_gamma 90.00
_space_group_name_H-M_alt 'C 1 2/m 1'
_space_group_IT_number 12
loop_
_space_group_symop_operation_xyz
'x,y,z'
'-x,-y,-z'
'-x,y,-z'
'x,-y,z'
'x+1/2,y+1/2,z'
'-x+1/2,-y+1/2,-z'
'-x+1/2,y+1/2,-z'
'x+1/2,-y+1/2,z'
loop_
_atom_site_label
_atom_site_fract_x
_atom_site_fract_y
_atom_site_fract_z
Li1 0.000 0.000 0.000
Li2 0.164 0.500 0.336
Np1 0.000 0.000 0.500
Pa1 0.167 0.500 0.834
Se1 0.001 0.500 0.242
Se2 0.164 0.000 0.092
Se3 0.171 0.000 0.579
```

Raw formation energy in eV/atom: -1.25
DOS at the Fermi energy in states/eV/f.u.: 15.61